(1)
Below is a relaxed structure of Nd6Tl2Cu, with properties calculated at the PBE level.

It has space group P2_1/c (No. 14), with a = 6.3682 Å, b = 8.7825 Å, c = 11.7443 Å, α = 90.00°, β = 119.86° and γ = 90.00°. The distinct sites, in fractional coordinates, are Nd at (0.0748, 0.1741, 0.4507), Nd at (0.3365, 0.6827, 0.4490), Nd at (0.3812, 0.0336, 0.2678), Tl at (0.1649, 0.1201, 0.7522) and Cu at (0.0000, 0.0000, 0.0000).

The crystal system is monoclinic. As for the energy above the most stable polymorph in this dataset: 81 meV/atom.


(2)
Below is a relaxed structure of NdYTlCu, with properties calculated at the PBE level.

It has space group F-43m (No. 216), with a = 7.4563 Å, b = 7.4563 Å, c = 7.4563 Å, α = 90.00°, β = 90.00° and γ = 90.00°. The distinct sites, in fractional coordinates, are Nd at (0.0000, 0.0000, 0.0000), Y at (0.0000, 0.0000, 0.5000), Tl at (0.2500, 0.2500, 0.2500) and Cu at (0.2500, 0.2500, 0.7500).

The crystal system is cubic.


(3)
Below is a relaxed structure of Nd4TlZn2Cu, with properties calculated at the PBE level.

It has space group R-3m (No. 166, hexagonal axes), with a = 5.2629 Å, b = 5.2629 Å, c = 25.8953 Å, α = 90.00°, β = 90.00° and γ = 120.00°. The distinct sites, in fractional coordinates, are Nd at (0.0000, 0.0000, 0.1182), Nd at (0.0000, 0.0000, 0.3685), Tl at (0.0000, 0.0000, 0.5000), Zn at (0.0000, 0.0000, 0.2468) and Cu at (0.0000, 0.0000, 0.0000).

The crystal system is trigonal.


Number 1: formation energy -126 meV per atom, V 31.646 Å³/atom. Number 2: formation energy -236 meV per atom, V 25.908 Å³/atom. Number 3: formation energy -263 meV per atom, V 25.882 Å³/atom.